A relaxed NbZnRh crystal. Source: Alexandria, functional PBE-GGA.

The calculation puts the formation energy at -0.97 eV/f.u. As for the total magnetization: 0.0 μB/f.u. The final energy comes out at -39.32 eV per cell.

The structure belongs to space group Pm (No. 6); the cell edges are 2.822, 4.339 and 7.602 Å and the angles 90.00°, 91.33° and 90.00°. The asymmetric unit holds Nb at (0.000, 0.000, 0.000), Nb at (0.039, 0.500, 0.471), Zn at (0.446, 0.500, 0.807), Zn at (0.509, 0.000, 0.332), Rh at (0.506, 0.500, 0.149) and Rh at (0.843, 0.000, 0.659).

=====

A relaxed NbZnRh3 crystal. Source: Alexandria, functional PBE-GGA.

The calculation puts the formation energy at 0.09 eV/f.u. As for the total magnetization: 0.0 μB/f.u. Its distance to the lowest polymorph of the same formula is 0 kJ/mol of formula units. The final energy comes out at -133.24 eV per cell.

The structure belongs to space group Cmcm (No. 63); the cell edges are 6.490, 10.755 and 4.572 Å and the angles 90.00°, 90.00° and 90.00°. The asymmetric unit holds Nb at (0.000, 0.153, 0.250), Zn at (0.000, 0.500, 0.000), Rh at (0.000, 0.300, 0.750) and Rh at (0.201, 0.091, 0.750).

=====

A relaxed Nb2ZnRh6 crystal. Source: Alexandria, functional PBE-GGA.

The calculation puts the formation energy at -0.33 eV/f.u. As for the total magnetization: 0.0 μB/f.u. The final energy comes out at -131.71 eV per cell.

The structure belongs to space group Immm (No. 71); the cell edges are 4.230, 5.963 and 12.364 Å and the angles 90.00°, 90.00° and 90.00°. The asymmetric unit holds Nb at (0.000, 0.000, 0.160), Zn at (0.000, 0.000, 0.500), Rh at (0.000, 0.248, 0.333) and Rh at (0.000, 0.263, 0.000).

=====

A relaxed Nb6ZnRh crystal. Source: Alexandria, functional PBE-GGA.

The calculation puts the formation energy at -0.89 eV/f.u. As for the total magnetization: 0.0 μB/f.u. The final energy comes out at -139.87 eV per cell.

The structure belongs to space group I4/mmm (No. 139); the cell edges are 4.722, 4.722 and 12.472 Å and the angles 90.00°, 90.00° and 90.00°. The asymmetric unit holds Nb at (0.000, 0.000, 0.246), Nb at (0.000, 0.500, 0.125), Zn at (0.000, 0.000, 0.000) and Rh at (0.000, 0.000, 0.500).